Entry from the Alexandria database: a relaxed structure of V5FeRu4 (PBE).

Cell lengths 2.9863, 2.9863, 14.9299 Å; angles 90.00, 90.00, 90.00 degrees
Fractional positions:
Ru 0.0000 0.0000 0.6013
Ru 0.0000 0.0000 0.8058
Ru 0.0000 0.0000 0.3987
Ru 0.0000 0.0000 0.1942
V 0.5000 0.5000 0.9098
V 0.5000 0.5000 0.5000
V 0.5000 0.5000 0.0902
V 0.5000 0.5000 0.7053
V 0.5000 0.5000 0.2947
Fe 0.0000 0.0000 0.0000

Summary:
ρ in g/cm³: 8.92
Density of states at the Fermi level in states/eV per atom: 1.375
Formation energy in eV per formula unit: -2.19
Magnetic moment in μB per atom: 0.069


Entry from the Alexandria database: a relaxed structure of VFeRu2 (PBE).

Cell lengths 3.0187, 3.0187, 5.9227 Å; angles 90.00, 90.00, 90.00 degrees
Fractional positions:
Ru 0.0000 0.0000 0.7524
Ru 0.0000 0.0000 0.2476
V 0.5000 0.5000 0.0000
Fe 0.5000 0.5000 0.5000

Summary:
ρ in g/cm³: 9.51
Density of states at the Fermi level in states/eV per atom: 0.740
Formation energy in eV per formula unit: -0.40
Relative energy among the computed polymorphs in eV per formula unit: 0.029
Magnetic moment in μB per atom: 1.019


Entry from the Alexandria database: a relaxed structure of V3Fe3Ru (PBE).

Cell lengths 5.7646, 5.7646, 5.2725 Å; angles 90.00, 90.00, 90.29 degrees
Fractional positions:
V 0.2348 0.7652 0.0000
V 0.3092 0.6908 0.5000
V 0.2335 0.2335 0.5000
V 0.6908 0.3092 0.5000
V 0.7665 0.7665 0.5000
V 0.7652 0.2348 0.0000
Fe 0.0000 0.0000 0.7502
Fe 0.0000 0.5000 0.7503
Fe 0.5000 0.0000 0.2497
Fe 0.0000 0.5000 0.2497
Fe 0.0000 0.0000 0.2498
Fe 0.5000 0.0000 0.7503
Ru 0.6596 0.6596 0.0000
Ru 0.3404 0.3404 0.0000

Summary:
ρ in g/cm³: 7.99
Density of states at the Fermi level in states/eV per atom: 1.053
Formation energy in eV per formula unit: 0.54
Magnetic moment in μB per atom: 0.000


Entry from the Alexandria database: a relaxed structure of V4Fe3Ru (PBE).

Cell lengths 4.1235, 5.8478, 8.2472 Å; angles 90.00, 90.00, 90.00 degrees
Fractional positions:
V 0.9998 0.2426 0.7500
V 0.0002 0.2426 0.2500
V 0.5000 0.2426 0.5000
V 0.5000 0.7574 0.5000
V 0.5000 0.7574 0.0000
V 0.9998 0.7574 0.7500
V 0.5000 0.2426 0.0000
V 0.0002 0.7574 0.2500
Fe 0.5002 0.5000 0.2500
Fe 0.4998 0.5000 0.7500
Fe 0.0000 0.0000 0.0000
Fe 0.5004 0.0000 0.2500
Fe 0.0000 0.0000 0.5000
Fe 0.4996 0.0000 0.7500
Ru 0.0000 0.5000 0.0000
Ru 0.0000 0.5000 0.5000

Summary:
ρ in g/cm³: 7.89
Density of states at the Fermi level in states/eV per atom: 1.206
Formation energy in eV per formula unit: -1.21
Magnetic moment in μB per atom: 0.369


Entry from the Alexandria database: a relaxed structure of V2Fe2Ru (PBE).

Cell lengths 6.6474, 6.6474, 2.7919 Å; angles 90.00, 90.00, 90.00 degrees
Fractional positions:
Fe 0.6299 0.1299 0.0000
Fe 0.3701 0.8701 0.0000
Fe 0.8701 0.6299 0.0000
Fe 0.1299 0.3701 0.0000
V 0.6694 0.8306 0.5000
V 0.3306 0.1694 0.5000
V 0.1694 0.6694 0.5000
V 0.8306 0.3306 0.5000
Ru 0.0000 0.0000 0.0000
Ru 0.5000 0.5000 0.0000

Summary:
ρ in g/cm³: 8.47
Density of states at the Fermi level in states/eV per atom: 1.701
Formation energy in eV per formula unit: 0.08
Relative energy among the computed polymorphs in eV per formula unit: 0.411
Magnetic moment in μB per atom: 0.000


Entry from the Alexandria database: a relaxed structure of V6FeRu5 (PBE).

Cell lengths 4.2386, 5.9450, 7.3593 Å; angles 113.82, 106.74, 90.00 degrees
Fractional positions:
Ru 0.3331 0.3331 0.6662
Ru 0.6669 0.6669 0.3338
Ru 0.3284 0.8284 0.6568
Ru 0.6716 0.1716 0.3432
Ru 0.0000 0.5000 0.0000
Fe 0.0000 0.0000 0.0000
V 0.5000 0.7620 0.0000
V 0.1613 0.9171 0.3226
V 0.8387 0.5945 0.6774
V 0.1613 0.4055 0.3226
V 0.8387 0.0829 0.6774
V 0.5000 0.2380 0.0000

Summary:
ρ in g/cm³: 8.94
Density of states at the Fermi level in states/eV per atom: 1.253
Formation energy in eV per formula unit: -2.71
Magnetic moment in μB per atom: 0.152


Entry from the Alexandria database: a relaxed structure of VFe2Ru (PBE).

Cell lengths 2.9845, 2.9845, 5.7035 Å; angles 90.00, 90.00, 90.00 degrees
Fractional positions:
Fe 0.0000 0.0000 0.2386
Fe 0.0000 0.0000 0.7614
V 0.5000 0.5000 0.0000
Ru 0.5000 0.5000 0.5000

Summary:
ρ in g/cm³: 8.62
Density of states at the Fermi level in states/eV per atom: 0.941
Formation energy in eV per formula unit: 0.02
Relative energy among the computed polymorphs in eV per formula unit: 0.252
Magnetic moment in μB per atom: 1.110


Entry from the Alexandria database: a relaxed structure of VFeRu2 (PBE).

Cell lengths 3.7153, 3.7153, 8.7839 Å; angles 77.79, 77.79, 90.00 degrees
Fractional positions:
Fe 0.0000 0.0000 0.0000
Fe 0.7500 0.2500 0.5000
Ru 0.3750 0.3589 0.7500
Ru 0.6411 0.1250 0.2500
Ru 0.1089 0.6250 0.2500
Ru 0.8750 0.8911 0.7500
V 0.5000 0.5000 0.0000
V 0.2500 0.7500 0.5000

Summary:
ρ in g/cm³: 8.87
Density of states at the Fermi level in states/eV per atom: 1.259
Formation energy in eV per formula unit: 2.13
Relative energy among the computed polymorphs in eV per formula unit: 2.554
Magnetic moment in μB per atom: 0.282